First-principles (PBE) data for CdInTc after structural relaxation, as listed in Alexandria via LeMat-Bulk.

Calculated values
* total energy: -12.71 eV for the cell shown
* energy of formation from the pure elements: 435 meV per atom
* relative energy among the computed polymorphs: 0.0 meV per atom
* space group: I4mm (107)
* N(E_F): 2.3 states/eV/f.u.

Lattice parameters (Å, degrees): 6.825 6.825 6.825 154.39 154.39 36.54
Site moments in Bohr magnetons follow the coordinates.
Fractional positions:
Cd 0.015 0.015 0.000  0.01
In 0.317 0.317 0.000  0.01
Tc 0.668 0.668 0.000  1.53

First-principles (PBE) data for NaScSeN2 after structural relaxation, as listed in Alexandria via LeMat-Bulk.

Calculated values
* raw formation energy: 1.226 eV/atom
* total energy: -21.66 eV for the cell shown
* relative energy among the computed polymorphs: 1004.4 meV per atom
* space group: P4/mmm (123)
* N(E_F): 3.1 states/eV/f.u.

Lattice parameters (Å, degrees): 4.207 4.207 5.077 90.00 90.00 90.00
Site moments in Bohr magnetons follow the coordinates.
Fractional positions:
Sc 0.500 0.500 0.500  -0.24
Na 0.000 0.000 0.000  0.05
Se 0.000 0.000 0.500  0.27
N 0.000 0.500 0.000  1.35
N 0.500 0.000 0.000  1.35

First-principles (PBE) data for Nd2Zn15Ru2 after structural relaxation, as listed in Alexandria via LeMat-Bulk.

Calculated values
* total energy: -51.36 eV for the cell shown
* energy of formation from the pure elements: -219 meV per atom
* space group: R-3m (166)
* N(E_F): 6.0 states/eV/f.u.

Lattice parameters (Å, degrees): 6.806 6.806 6.806 83.25 83.25 83.25
Fractional positions:
Nd 0.336 0.336 0.336
Nd 0.664 0.664 0.664
Zn 0.500 0.000 0.000
Zn 0.000 0.000 0.500
Zn 0.000 0.500 0.000
Zn 0.000 0.716 0.284
Zn 0.716 0.284 0.000
Zn 0.284 0.000 0.716
Zn 0.284 0.716 0.000
Zn 0.716 0.000 0.284
Zn 0.000 0.284 0.716
Zn 0.148 0.652 0.652
Zn 0.652 0.652 0.148
Zn 0.652 0.148 0.652
Zn 0.852 0.348 0.348
Zn 0.348 0.348 0.852
Zn 0.348 0.852 0.348
Ru 0.100 0.100 0.100
Ru 0.900 0.900 0.900